Record 1
Entry from Alexandria: an optimized crystal structure of GdTlCuPt (PBE).

abc: 6.863 6.863 6.863
angles: 90.00 90.00 90.00
Space group F-43m (No. 216)
Symmetry-distinct sites (fractional):
Gd (0.000, 0.000, 0.000)
Tl (0.000, 0.000, 0.500)
Cu (0.250, 0.250, 0.750)
Pt (0.250, 0.250, 0.250)

Record 2
Entry from Alexandria: an optimized crystal structure of GdYCuPt (PBE).

abc: 7.014 7.014 7.014
angles: 90.00 90.00 90.00
Space group F-43m (No. 216)
Symmetry-distinct sites (fractional):
Gd (0.000, 0.000, 0.000)
Y (0.000, 0.000, 0.500)
Cu (0.250, 0.250, 0.250)
Pt (0.250, 0.250, 0.750)

Record 3
Entry from Alexandria: an optimized crystal structure of GdZrCuPt (PBE).

abc: 6.840 6.840 6.840
angles: 90.00 90.00 90.00
Space group F-43m (No. 216)
Symmetry-distinct sites (fractional):
Gd (0.000, 0.000, 0.000)
Zr (0.000, 0.000, 0.500)
Cu (0.250, 0.250, 0.250)
Pt (0.250, 0.250, 0.750)

Record 4
Entry from Alexandria: an optimized crystal structure of Gd2PuCu (PBE).

abc: 3.505 3.505 8.577
angles: 90.00 90.00 90.00
Space group P4/mmm (No. 123)
Symmetry-distinct sites (fractional):
Gd (0.000, 0.000, 0.203)
Pu (0.500, 0.500, 0.500)
Cu (0.500, 0.500, 0.000)

Record 5
Entry from Alexandria: an optimized crystal structure of GdPuCu4 (PBE).

abc: 9.104 9.104 9.104
angles: 90.00 90.00 90.00
Space group F-43m (No. 216)
Symmetry-distinct sites (fractional):
Gd (0.000, 0.000, 0.000)
Pu (0.250, 0.250, 0.250)
Cu (0.091, 0.091, 0.409)

Record 6
Entry from Alexandria: an optimized crystal structure of GdPuCuRh (PBE).

abc: 6.944 6.944 6.944
angles: 90.00 90.00 90.00
Space group F-43m (No. 216)
Symmetry-distinct sites (fractional):
Gd (0.000, 0.000, 0.000)
Pu (0.000, 0.000, 0.500)
Cu (0.250, 0.250, 0.250)
Rh (0.250, 0.250, 0.750)

Record 7
Entry from Alexandria: an optimized crystal structure of GdPuTlCu (PBE).

abc: 7.395 7.395 7.395
angles: 90.00 90.00 90.00
Space group F-43m (No. 216)
Symmetry-distinct sites (fractional):
Gd (0.000, 0.000, 0.000)
Pu (0.000, 0.000, 0.500)
Tl (0.250, 0.250, 0.250)
Cu (0.250, 0.250, 0.750)

Record 8
Entry from Alexandria: an optimized crystal structure of GdPuZnCu (PBE).

abc: 7.094 7.094 7.094
angles: 90.00 90.00 90.00
Space group F-43m (No. 216)
Symmetry-distinct sites (fractional):
Gd (0.000, 0.000, 0.000)
Pu (0.000, 0.000, 0.500)
Zn (0.250, 0.250, 0.750)
Cu (0.250, 0.250, 0.250)

no.,calculated formation energy (eV/atom)
1,-0.435
2,-0.734
3,-0.546
4,-0.007
5,1.088
6,-0.314
7,-0.021
8,-0.073